This record from the Alexandria database describes a geometry-optimized Ag2P2Pb structure. The functional is PBE.

It has space group I4/mmm (No. 139), with a = 3.958 Å, b = 3.958 Å, c = 13.011 Å, α = 90.00°, β = 90.00° and γ = 90.00°. The distinct sites, in fractional coordinates, are Ag at (0.000, 0.000, 0.110), P at (0.000, 0.500, 0.250) and Pb at (0.000, 0.000, 0.500).

The value obtained for the formation energy from the elements is 336 meV per atom.